P | ! SrCa2Y | Alexandria | PBEsol | relaxed; values from VASP
&SYSTEM
  ibrav = 0, nat = 4, ntyp = 3
/
ATOMIC_SPECIES
Sr 87.62 Sr.upf
Ca 40.08 Ca.upf
Y 88.91 Y.upf
CELL_PARAMETERS angstrom
3.998 0.000 0.000
0.000 3.998 0.000
0.000 0.000 9.847
ATOMIC_POSITIONS crystal
Sr 0.000 0.000 0.000
Ca 0.500 0.500 0.279
Ca 0.500 0.500 0.721
Y 0.000 0.000 0.500
! **SG**: P4/mmm, No. 123
! **Magnetization**: 0.0 μB/f.u.

***

Q | ! SrCa2Y | Alexandria | PBEsol | relaxed; values from VASP
&SYSTEM
  ibrav = 0, nat = 8, ntyp = 3
/
ATOMIC_SPECIES
Sr 87.62 Sr.upf
Ca 40.08 Ca.upf
Y 88.91 Y.upf
CELL_PARAMETERS angstrom
4.247 0.000 0.000
0.000 6.043 0.000
0.000 0.000 12.150
ATOMIC_POSITIONS crystal
Sr 0.000 0.000 0.000
Sr 0.500 0.500 0.000
Ca 0.000 0.500 0.267
Ca 0.000 0.500 0.733
Ca 0.500 0.000 0.267
Ca 0.500 0.000 0.733
Y 0.000 0.000 0.500
Y 0.500 0.500 0.500
! **SG**: Cmmm, No. 65
! **Magnetization**: 0.0 μB/f.u.

***

R | ! SrCa2Y | Alexandria | PBEsol | relaxed; values from VASP
&SYSTEM
  ibrav = 0, nat = 8, ntyp = 3
/
ATOMIC_SPECIES
Sr 87.62 Sr.upf
Ca 40.08 Ca.upf
Y 88.91 Y.upf
CELL_PARAMETERS angstrom
4.185 0.000 0.000
0.000 6.079 0.000
0.000 0.000 12.261
ATOMIC_POSITIONS crystal
Sr 0.000 0.000 0.000
Sr 0.500 0.500 0.000
Ca 0.000 0.000 0.479
Ca 0.000 0.500 0.732
Ca 0.500 0.000 0.732
Ca 0.500 0.500 0.479
Y 0.000 0.500 0.246
Y 0.500 0.000 0.246
! **SG**: Cmm2, No. 35
! **Magnetization**: 0.0 μB/f.u.

***

S | ! SrCa2Y | Alexandria | PBEsol | relaxed; values from VASP
&SYSTEM
  ibrav = 0, nat = 16, ntyp = 3
/
ATOMIC_SPECIES
Sr 87.62 Sr.upf
Ca 40.08 Ca.upf
Y 88.91 Y.upf
CELL_PARAMETERS angstrom
8.516 0.000 0.000
0.000 8.516 0.000
0.000 0.000 8.516
ATOMIC_POSITIONS crystal
Sr 0.000 0.000 0.000
Sr 0.000 0.500 0.500
Sr 0.500 0.000 0.500
Sr 0.500 0.500 0.000
Ca 0.000 0.000 0.500
Ca 0.000 0.500 0.000
Ca 0.250 0.250 0.250
Ca 0.250 0.750 0.750
Ca 0.500 0.000 0.000
Ca 0.500 0.500 0.500
Ca 0.750 0.250 0.750
Ca 0.750 0.750 0.250
Y 0.250 0.250 0.750
Y 0.250 0.750 0.250
Y 0.750 0.250 0.250
Y 0.750 0.750 0.750
! **SG**: F-43m, No. 216
! **Magnetization**: 0.0 μB/f.u.

***

Name the least stable of them. S.

***

P | ! SrCa2Y | Alexandria | PBEsol | relaxed; values from VASP
&SYSTEM
  ibrav = 0, nat = 8, ntyp = 3
/
ATOMIC_SPECIES
Sr 87.62 Sr.upf
Ca 40.08 Ca.upf
Y 88.91 Y.upf
CELL_PARAMETERS angstrom
5.414 0.000 0.000
0.000 5.414 0.000
0.000 0.000 10.831
ATOMIC_POSITIONS crystal
Sr 0.000 0.000 0.000
Sr 0.500 0.500 0.500
Ca 0.000 0.000 0.500
Ca 0.000 0.500 0.750
Ca 0.500 0.000 0.250
Ca 0.500 0.500 0.000
Y 0.000 0.500 0.250
Y 0.500 0.000 0.750
! **SG**: I-4m2, No. 119
! **Magnetization**: 0.2 μB/f.u.

***

Q | ! SrCa2Y | Alexandria | PBEsol | relaxed; values from VASP
&SYSTEM
  ibrav = 0, nat = 4, ntyp = 3
/
ATOMIC_SPECIES
Sr 87.62 Sr.upf
Ca 40.08 Ca.upf
Y 88.91 Y.upf
CELL_PARAMETERS angstrom
6.084 0.000 0.000
0.000 6.084 0.000
0.000 0.000 4.173
ATOMIC_POSITIONS crystal
Sr 0.000 0.000 0.000
Ca 0.000 0.500 0.500
Ca 0.500 0.000 0.500
Y 0.500 0.500 0.000
! **SG**: P4/mmm, No. 123
! **Magnetization**: 0.0 μB/f.u.

***

Name the least stable of them. P.

***

P | ! SrCaZr | Alexandria | PBEsol | relaxed; values from VASP
&SYSTEM
  ibrav = 0, nat = 12, ntyp = 3
/
ATOMIC_SPECIES
Sr 87.62 Sr.upf
Ca 40.08 Ca.upf
Zr 91.22 Zr.upf
CELL_PARAMETERS angstrom
7.995 0.000 0.000
0.000 7.995 0.000
0.000 0.000 7.995
ATOMIC_POSITIONS crystal
Sr 0.000 0.000 0.000
Sr 0.000 0.500 0.500
Sr 0.500 0.000 0.500
Sr 0.500 0.500 0.000
Ca 0.000 0.000 0.500
Ca 0.000 0.500 0.000
Ca 0.500 0.000 0.000
Ca 0.500 0.500 0.500
Zr 0.250 0.250 0.250
Zr 0.250 0.750 0.750
Zr 0.750 0.250 0.750
Zr 0.750 0.750 0.250
! **SG**: F-43m, No. 216
! **Magnetization**: 3.5 μB/f.u.

***

Q | ! SrCaZr | Alexandria | PBEsol | relaxed; values from VASP
&SYSTEM
  ibrav = 0, nat = 3, ntyp = 3
/
ATOMIC_SPECIES
Sr 87.62 Sr.upf
Ca 40.08 Ca.upf
Zr 91.22 Zr.upf
CELL_PARAMETERS angstrom
3.534 0.000 0.000
-1.767 3.061 0.000
0.000 0.000 9.008
ATOMIC_POSITIONS crystal
Sr 0.000 0.000 0.000
Ca 0.667 0.333 0.387
Zr 0.333 0.667 0.686
! **SG**: P3m1, No. 156
! **Magnetization**: 0.0 μB/f.u.

***

Name the least stable of them. P.

***

P | ! SrCaZr2 | Alexandria | PBEsol | relaxed; values from VASP
&SYSTEM
  ibrav = 0, nat = 8, ntyp = 3
/
ATOMIC_SPECIES
Sr 87.62 Sr.upf
Ca 40.08 Ca.upf
Zr 91.22 Zr.upf
CELL_PARAMETERS angstrom
3.312 0.000 0.000
0.000 6.155 0.000
0.000 0.000 11.775
ATOMIC_POSITIONS crystal
Sr 0.000 0.000 0.000
Sr 0.500 0.500 0.500
Ca 0.000 0.500 0.216
Ca 0.500 0.000 0.716
Zr 0.000 0.000 0.460
Zr 0.000 0.500 0.764
Zr 0.500 0.000 0.264
Zr 0.500 0.500 0.960
! **SG**: Imm2, No. 44
! **Magnetization**: 0.0 μB/f.u.

***

Q | ! SrCaZr2 | Alexandria | PBEsol | relaxed; values from VASP
&SYSTEM
  ibrav = 0, nat = 8, ntyp = 3
/
ATOMIC_SPECIES
Sr 87.62 Sr.upf
Ca 40.08 Ca.upf
Zr 91.22 Zr.upf
CELL_PARAMETERS angstrom
5.010 0.000 0.000
0.000 5.010 0.000
0.000 0.000 9.003
ATOMIC_POSITIONS crystal
Sr 0.000 0.000 0.000
Sr 0.500 0.500 0.500
Ca 0.000 0.500 0.750
Ca 0.500 0.000 0.250
Zr 0.000 0.000 0.500
Zr 0.000 0.500 0.250
Zr 0.500 0.000 0.750
Zr 0.500 0.500 0.000
! **SG**: I-4m2, No. 119
! **Magnetization**: 0.0 μB/f.u.

***

Name the least stable of them. Q.

***

P | ! Sr2CaZr | Alexandria | PBEsol | relaxed; values from VASP
&SYSTEM
  ibrav = 0, nat = 16, ntyp = 3
/
ATOMIC_SPECIES
Sr 87.62 Sr.upf
Ca 40.08 Ca.upf
Zr 91.22 Zr.upf
CELL_PARAMETERS angstrom
8.356 0.000 0.000
0.000 8.356 0.000
0.000 0.000 8.356
ATOMIC_POSITIONS crystal
Sr 0.250 0.250 0.250
Sr 0.250 0.250 0.750
Sr 0.250 0.750 0.250
Sr 0.250 0.750 0.750
Sr 0.750 0.250 0.250
Sr 0.750 0.250 0.750
Sr 0.750 0.750 0.250
Sr 0.750 0.750 0.750
Ca 0.000 0.000 0.000
Ca 0.000 0.500 0.500
Ca 0.500 0.000 0.500
Ca 0.500 0.500 0.000
Zr 0.000 0.000 0.500
Zr 0.000 0.500 0.000
Zr 0.500 0.000 0.000
Zr 0.500 0.500 0.500
! **SG**: Fm-3m, No. 225
! **Magnetization**: 0.6 μB/f.u.

***

Q | ! Sr2CaZr | Alexandria | PBEsol | relaxed; values from VASP
&SYSTEM
  ibrav = 0, nat = 4, ntyp = 3
/
ATOMIC_SPECIES
Sr 87.62 Sr.upf
Ca 40.08 Ca.upf
Zr 91.22 Zr.upf
CELL_PARAMETERS angstrom
3.652 0.000 0.000
0.000 5.373 0.000
0.000 0.000 7.545
ATOMIC_POSITIONS crystal
Sr 0.000 0.000 0.231
Sr 0.000 0.000 0.769
Ca 0.500 0.500 0.500
Zr 0.500 0.500 0.000
! **SG**: Pmmm, No. 47
! **Magnetization**: 2.0 μB/f.u.

***

Name the least stable of them. P.

***

P | ! Sr2CaZr | Alexandria | PBEsol | relaxed; values from VASP
&SYSTEM
  ibrav = 0, nat = 4, ntyp = 3
/
ATOMIC_SPECIES
Sr 87.62 Sr.upf
Ca 40.08 Ca.upf
Zr 91.22 Zr.upf
CELL_PARAMETERS angstrom
3.684 0.000 0.000
0.000 3.684 0.000
0.000 0.000 10.892
ATOMIC_POSITIONS crystal
Sr 0.000 0.000 0.000
Sr 0.500 0.500 0.301
Ca 0.500 0.500 0.719
Zr 0.000 0.000 0.520
! **SG**: P4mm, No. 99
! **Magnetization**: 0.0 μB/f.u.

***

Q | ! Sr2CaZr | Alexandria | PBEsol | relaxed; values from VASP
&SYSTEM
  ibrav = 0, nat = 8, ntyp = 3
/
ATOMIC_SPECIES
Sr 87.62 Sr.upf
Ca 40.08 Ca.upf
Zr 91.22 Zr.upf
CELL_PARAMETERS angstrom
5.351 0.000 0.000
0.000 5.351 0.000
0.000 0.000 10.402
ATOMIC_POSITIONS crystal
Sr 0.000 0.000 0.000
Sr 0.000 0.500 0.250
Sr 0.500 0.000 0.750
Sr 0.500 0.500 0.500
Ca 0.000 0.500 0.750
Ca 0.500 0.000 0.250
Zr 0.000 0.000 0.500
Zr 0.500 0.500 0.000
! **SG**: I-4m2, No. 119
! **Magnetization**: 2.7 μB/f.u.

***

Name the least stable of them. Q.

***

P | ! CaTaW | Alexandria | PBEsol | relaxed; values from VASP
&SYSTEM
  ibrav = 0, nat = 3, ntyp = 3
/
ATOMIC_SPECIES
Ca 40.08 Ca.upf
Ta 180.95 Ta.upf
W 183.84 W.upf
CELL_PARAMETERS angstrom
2.895 0.000 0.000
-1.447 2.507 0.000
0.000 0.000 7.959
ATOMIC_POSITIONS crystal
Ca 0.000 0.000 0.000
Ta 0.333 0.667 0.641
W 0.667 0.333 0.335
! **SG**: P3m1, No. 156
! **Magnetization**: 0.0 μB/f.u.

***

Q | ! CaTaW | Alexandria | PBEsol | relaxed; values from VASP
&SYSTEM
  ibrav = 0, nat = 6, ntyp = 3
/
ATOMIC_SPECIES
Ca 40.08 Ca.upf
Ta 180.95 Ta.upf
W 183.84 W.upf
CELL_PARAMETERS angstrom
2.726 0.000 0.000
0.000 4.424 0.000
0.000 0.000 10.167
ATOMIC_POSITIONS crystal
Ca 0.000 0.000 0.000
Ca 0.500 0.500 0.500
Ta 0.000 0.000 0.696
Ta 0.500 0.500 0.196
W 0.000 0.000 0.312
W 0.500 0.500 0.812
! **SG**: Imm2, No. 44
! **Magnetization**: 0.0 μB/f.u.

***

Name the least stable of them. P.

***

P | ! Ca2YTa | Alexandria | PBEsol | relaxed; values from VASP
&SYSTEM
  ibrav = 0, nat = 8, ntyp = 3
/
ATOMIC_SPECIES
Ca 40.08 Ca.upf
Y 88.91 Y.upf
Ta 180.95 Ta.upf
CELL_PARAMETERS angstrom
4.933 0.000 0.000
0.000 4.933 0.000
0.000 0.000 8.999
ATOMIC_POSITIONS crystal
Ca 0.000 0.000 0.000
Ca 0.000 0.500 0.250
Ca 0.500 0.000 0.750
Ca 0.500 0.500 0.500
Y 0.000 0.000 0.500
Y 0.500 0.500 0.000
Ta 0.000 0.500 0.750
Ta 0.500 0.000 0.250
! **SG**: I-4m2, No. 119
! **Magnetization**: 1.2 μB/f.u.

***

Q | ! Ca2YTa | Alexandria | PBEsol | relaxed; values from VASP
&SYSTEM
  ibrav = 0, nat = 16, ntyp = 3
/
ATOMIC_SPECIES
Ca 40.08 Ca.upf
Y 88.91 Y.upf
Ta 180.95 Ta.upf
CELL_PARAMETERS angstrom
7.623 0.000 0.000
0.000 7.623 0.000
0.000 0.000 7.623
ATOMIC_POSITIONS crystal
Ca 0.250 0.250 0.250
Ca 0.250 0.250 0.750
Ca 0.250 0.750 0.250
Ca 0.250 0.750 0.750
Ca 0.750 0.250 0.250
Ca 0.750 0.250 0.750
Ca 0.750 0.750 0.250
Ca 0.750 0.750 0.750
Y 0.000 0.000 0.000
Y 0.000 0.500 0.500
Y 0.500 0.000 0.500
Y 0.500 0.500 0.000
Ta 0.000 0.000 0.500
Ta 0.000 0.500 0.000
Ta 0.500 0.000 0.000
Ta 0.500 0.500 0.500
! **SG**: Fm-3m, No. 225
! **Magnetization**: 2.0 μB/f.u.

***

R | ! Ca2YTa | Alexandria | PBEsol | relaxed; values from VASP
&SYSTEM
  ibrav = 0, nat = 4, ntyp = 3
/
ATOMIC_SPECIES
Ca 40.08 Ca.upf
Y 88.91 Y.upf
Ta 180.95 Ta.upf
CELL_PARAMETERS angstrom
3.163 0.000 0.000
0.000 5.795 0.000
-0.447 0.000 5.909
ATOMIC_POSITIONS crystal
Ca 0.245 0.000 0.263
Ca 0.755 0.000 0.737
Y 0.500 0.500 0.000
Ta 0.000 0.500 0.500
! **SG**: P2/m, No. 10
! **Magnetization**: 0.0 μB/f.u.

***

S | ! Ca2YTa | Alexandria | PBEsol | relaxed; values from VASP
&SYSTEM
  ibrav = 0, nat = 8, ntyp = 3
/
ATOMIC_SPECIES
Ca 40.08 Ca.upf
Y 88.91 Y.upf
Ta 180.95 Ta.upf
CELL_PARAMETERS angstrom
11.666 0.000 0.000
0.000 3.262 0.000
-0.975 0.000 5.709
ATOMIC_POSITIONS crystal
Ca 0.237 0.000 0.232
Ca 0.263 0.500 0.768
Ca 0.737 0.500 0.232
Ca 0.763 0.000 0.768
Y 0.000 0.000 0.500
Y 0.500 0.500 0.500
Ta 0.000 0.500 0.000
Ta 0.500 0.000 0.000
! **SG**: C2/m, No. 12
! **Magnetization**: 0.0 μB/f.u.

***

Name the least stable of them. Q.